Below is an optimized crystal structure of PmYBr4, with properties calculated at the PBE level.

Unit cell a=6.839 b=3.933 c=7.795 alpha=90.00 beta=106.50 gamma=90.00
Fractional positions:
Pm1 0.000 0.000 0.000
Y1 0.500 0.500 0.000
Br1 0.258 0.500 0.250
Br2 0.263 0.000 0.757
Br3 0.737 0.000 0.243
Br4 0.742 0.500 0.750

- Electronic total energy: -4.6145 eV per atom
- Formation energy from raw total energies: -1.63 eV per atom
- Density of states at the Fermi level: 0.49 states/eV per atom